Crystalline MgZnCu4 at its relaxed geometry, computed with PBE.

Unit cell a=8.5246 b=2.6496 c=7.1762 alpha=90.00 beta=90.00 gamma=90.00
Fractional coordinates of all 12 atoms:
Mg (0.2500, 0.0000, 0.1938)
Mg (0.7500, 0.0000, 0.8062)
Zn (0.2500, 0.0000, 0.5605)
Zn (0.7500, 0.0000, 0.4395)
Cu (0.0000, 0.0000, 0.0000)
Cu (0.0002, 0.5000, 0.3261)
Cu (0.9998, 0.5000, 0.6739)
Cu (0.2500, 0.5000, 0.8706)
Cu (0.5000, 0.0000, 0.0000)
Cu (0.4998, 0.5000, 0.3261)
Cu (0.5002, 0.5000, 0.6739)
Cu (0.7500, 0.5000, 0.1294)

The density of states at the Fermi level comes out at 0.26 states/eV per atom. The calculation puts the size of the total moment at 0.00 μB/cell. For the energy relative to the elements, the calculation gives 0.029 eV per atom. For the volume, the calculation gives 162 Å³ per cell. As for the crystal system: orthorhombic.

Crystalline Mg2Zn2Cu at its relaxed geometry, computed with PBE.

Unit cell a=3.7525 b=3.7525 c=13.7605 alpha=90.00 beta=90.00 gamma=90.00
Fractional coordinates of all 10 atoms:
Mg (0.2500, 0.2500, 0.1602)
Mg (0.2500, 0.7500, 0.5000)
Mg (0.7500, 0.2500, 0.5000)
Mg (0.7500, 0.7500, 0.8398)
Zn (0.2500, 0.2500, 0.3494)
Zn (0.2500, 0.7500, 0.0000)
Zn (0.7500, 0.2500, 0.0000)
Zn (0.7500, 0.7500, 0.6506)
Cu (0.2500, 0.2500, 0.6604)
Cu (0.7500, 0.7500, 0.3396)

The density of states at the Fermi level comes out at 0.46 states/eV per atom. The calculation puts the size of the total moment at 0.00 μB/cell. As for the energy above the most stable polymorph in this dataset: 317.6 meV per atom. For the energy relative to the elements, the calculation gives 0.201 eV per atom. For the volume, the calculation gives 194 Å³ per cell. As for the crystal system: tetragonal.

Crystalline MgZn2Cu2 at its relaxed geometry, computed with PBE.

Unit cell a=6.6065 b=6.6065 c=6.6065 alpha=148.47 beta=148.47 gamma=45.19
Fractional coordinates of all 5 atoms:
Mg (0.0000, 0.0000, 0.0000)
Zn (0.3959, 0.3959, 0.0000)
Zn (0.6041, 0.6041, 0.0000)
Cu (0.2500, 0.7500, 0.5000)
Cu (0.7500, 0.2500, 0.5000)

The density of states at the Fermi level comes out at 0.35 states/eV per atom. The calculation puts the size of the total moment at 0.00 μB/cell. As for the energy above the most stable polymorph in this dataset: 121.0 meV per atom. For the energy relative to the elements, the calculation gives 0.028 eV per atom. For the volume, the calculation gives 79 Å³ per cell. As for the crystal system: tetragonal.

Crystalline Mg6ZnCu at its relaxed geometry, computed with PBE.

Unit cell a=4.9339 b=6.0327 c=6.0327 alpha=61.28 beta=90.00 gamma=90.00
Fractional coordinates of all 8 atoms:
Mg (0.0000, 0.0000, 0.0000)
Mg (0.0000, 0.0107, 0.5041)
Mg (0.0000, 0.4986, 0.4986)
Mg (0.0000, 0.5041, 0.0107)
Mg (0.5000, 0.3341, 0.8336)
Mg (0.5000, 0.8336, 0.3341)
Zn (0.5000, 0.8361, 0.8361)
Cu (0.5000, 0.3364, 0.3364)

The density of states at the Fermi level comes out at 0.15 states/eV per atom. The calculation puts the size of the total moment at 0.00 μB/cell. As for the energy above the most stable polymorph in this dataset: 44.2 meV per atom. For the energy relative to the elements, the calculation gives 0.006 eV per atom. For the volume, the calculation gives 157 Å³ per cell. As for the crystal system: orthorhombic.

Crystalline Mg2Zn2Cu at its relaxed geometry, computed with PBE.

Unit cell a=4.3381 b=5.2654 c=7.6896 alpha=90.00 beta=106.31 gamma=90.00
Fractional coordinates of all 10 atoms:
Mg (0.0703, 0.0000, 0.1408)
Mg (0.2752, 0.7531, 0.5514)
Mg (0.7248, 0.2531, 0.4486)
Mg (0.9297, 0.5000, 0.8592)
Zn (0.3543, 0.2409, 0.7070)
Zn (0.4619, 0.8399, 0.9231)
Zn (0.5381, 0.3399, 0.0769)
Zn (0.6457, 0.7409, 0.2930)
Cu (0.1221, 0.4868, 0.2462)
Cu (0.8779, 0.9868, 0.7538)

The density of states at the Fermi level comes out at 0.24 states/eV per atom. The calculation puts the size of the total moment at 0.00 μB/cell. As for the energy above the most stable polymorph in this dataset: 0.0 meV per atom. For the energy relative to the elements, the calculation gives -0.117 eV per atom. For the volume, the calculation gives 169 Å³ per cell. As for the crystal system: monoclinic.

Crystalline MgZn3Cu6 at its relaxed geometry, computed with PBE.

Unit cell a=7.1124 b=4.2830 c=9.3851 alpha=90.00 beta=112.04 gamma=90.00
Fractional coordinates of all 20 atoms:
Mg (0.0418, 0.2500, 0.4132)
Mg (0.9582, 0.7500, 0.5868)
Zn (0.2356, 0.2500, 0.0326)
Zn (0.3634, 0.7500, 0.7801)
Zn (0.4404, 0.2500, 0.6339)
Zn (0.5596, 0.7500, 0.3661)
Zn (0.6366, 0.2500, 0.2199)
Zn (0.7644, 0.7500, 0.9674)
Cu (0.0687, 0.7500, 0.8886)
Cu (0.1473, 0.2500, 0.7431)
Cu (0.1613, 0.7500, 0.1834)
Cu (0.2808, 0.7500, 0.4765)
Cu (0.3457, 0.2500, 0.3261)
Cu (0.4584, 0.7500, 0.0707)
Cu (0.5416, 0.2500, 0.9293)
Cu (0.6543, 0.7500, 0.6739)
Cu (0.7192, 0.2500, 0.5235)
Cu (0.8387, 0.2500, 0.8166)
Cu (0.8527, 0.7500, 0.2569)
Cu (0.9313, 0.2500, 0.1114)

The density of states at the Fermi level comes out at 0.17 states/eV per atom. The calculation puts the size of the total moment at 0.00 μB/cell. For the energy relative to the elements, the calculation gives -0.072 eV per atom. For the volume, the calculation gives 265 Å³ per cell. As for the crystal system: monoclinic.

Crystalline MgZnCu5 at its relaxed geometry, computed with PBE.

Unit cell a=3.6748 b=3.6748 c=7.3068 alpha=90.00 beta=90.00 gamma=90.00
Fractional coordinates of all 7 atoms:
Mg (0.0000, 0.0000, 0.0000)
Zn (0.5000, 0.5000, 0.5000)
Cu (0.0000, 0.5000, 0.2653)
Cu (0.0000, 0.5000, 0.7347)
Cu (0.5000, 0.0000, 0.2653)
Cu (0.5000, 0.0000, 0.7347)
Cu (0.5000, 0.5000, 0.0000)

The density of states at the Fermi level comes out at 0.57 states/eV per atom. The calculation puts the size of the total moment at 0.00 μB/cell. As for the energy above the most stable polymorph in this dataset: 38.7 meV per atom. For the energy relative to the elements, the calculation gives 0.075 eV per atom. For the volume, the calculation gives 99 Å³ per cell. As for the crystal system: tetragonal.

Crystalline MgZn2Cu at its relaxed geometry, computed with PBE.

Unit cell a=5.1464 b=5.1464 c=5.1464 alpha=144.45 beta=129.19 gamma=63.54
Fractional coordinates of all 4 atoms:
Mg (0.0000, 0.0000, 0.0000)
Zn (0.2709, 0.7709, 0.5000)
Zn (0.5171, 0.5171, 0.0000)
Cu (0.7444, 0.2444, 0.5000)

The density of states at the Fermi level comes out at 0.22 states/eV per atom. The calculation puts the size of the total moment at 0.00 μB/cell. For the energy relative to the elements, the calculation gives -0.040 eV per atom. For the volume, the calculation gives 61 Å³ per cell. As for the crystal system: orthorhombic.

Q: Which value of energy relative to the elements does entry 5 give?
A: -0.117 eV per atom

Q: What is the formula in the eighth record?
A: MgZn2Cu